DFT (SCAN) results for a crystal of Mn2CdTe relaxed with PBEsol.

The final energy is -25.98 eV per atom. The uncorrected formation energy is 25 kJ/mol of formula units.

The structure belongs to space group P4/mmm (No. 123); the cell edges are 4.3110, 4.3110 and 3.7832 Å and the angles 90.00°, 90.00° and 90.00°. The distinct sites, in fractional coordinates, are Mn at (0.0000, 0.5000, 0.0000), Cd at (0.0000, 0.0000, 0.5000) and Te at (0.5000, 0.5000, 0.5000).